Record 1
{"formula": "AlCrRu2", "functional": "PBE", "state": "optimized geometry", "lattice_angstrom": [[-3.857, -1.612, 2.367], [-1.652, -3.318, 3.055], [0.041, 1.675, 4.020]], "species": ["Cr", "Al", "Ru", "Ru"], "fractional_positions": [[0.747, 0.747, 0.808], [0.501, 0.501, 0.447], [0.003, 0.003, 0.937], [0.249, 0.249, 0.308]], "vol_a3_per_atom": 13.52, "n_ef_per_ev_cell": 3.371, "energy_ev_per_atom": -8.20, "magmom_total_mub_per_atom": 0.328, "e_form_ev_per_atom": -0.2215}

Record 2
{"formula": "LiMoOs2", "functional": "PBE", "state": "optimized geometry", "lattice_angstrom": [[2.665, -0.002, 0.000], [-1.163, 2.398, 0.000], [0.000, 0.000, 9.408]], "species": ["Mo", "Os", "Li", "Os"], "fractional_positions": [[0.500, 0.500, 0.759], [0.000, 0.000, 0.001], [0.000, 0.000, 0.492], [0.500, 0.500, 0.248]], "vol_a3_per_atom": 15.03, "n_ef_per_ev_cell": 4.446, "energy_ev_per_atom": -8.35, "magmom_total_mub_per_atom": 0.000, "e_form_ev_per_atom": 0.4519, "polymorph_energy_mev_per_atom": 325}

Record 3
{"formula": "Y4Cd2Ga", "functional": "PBE", "state": "optimized geometry", "lattice_angstrom": [[-0.054, 5.070, -1.042], [-3.366, 3.103, 2.414], [4.494, 4.049, 6.611]], "species": ["Y", "Y", "Y", "Cd", "Y", "Cd", "Ga"], "fractional_positions": [[0.875, 0.875, 0.374], [0.125, 0.125, 0.626], [0.624, 0.624, 0.127], [0.750, 0.750, 0.750], [0.376, 0.376, 0.873], [0.250, 0.250, 0.250], [0.000, 0.000, 0.000]], "vol_a3_per_atom": 28.00, "n_ef_per_ev_cell": 9.497, "energy_ev_per_atom": -4.62, "magmom_total_mub_per_atom": 0.001, "e_form_ev_per_atom": -0.2365}

Record 4
{"formula": "AgOsPd", "functional": "PBE", "state": "optimized geometry", "lattice_angstrom": [[4.571, 1.109, 2.579], [3.244, 3.406, 2.579], [8.072, 4.663, 13.529]], "species": ["Os", "Pd", "Os", "Ag", "Ag", "Pd"], "fractional_positions": [[0.504, 0.504, 0.648], [0.840, 0.840, 0.321], [0.249, 0.249, 0.659], [0.183, 0.183, 0.980], [0.570, 0.570, 0.328], [0.913, 0.913, 0.986]], "vol_a3_per_atom": 16.36, "n_ef_per_ev_cell": 4.750, "energy_ev_per_atom": -5.86, "magmom_total_mub_per_atom": 0.000, "e_form_ev_per_atom": 0.5650}

Record 5
{"formula": "CaZn2Ni", "functional": "PBE", "state": "optimized geometry", "lattice_angstrom": [[-2.261, -3.111, -3.923], [4.707, -5.117, 1.345], [-9.302, -5.915, 10.050]], "species": ["Zn", "Zn", "Zn", "Ni", "Zn", "Zn", "Ca", "Ni", "Ni", "Ni", "Ni", "Zn", "Zn", "Zn", "Zn", "Zn", "Zn", "Ni", "Ca", "Zn", "Ca", "Ca", "Zn", "Ca", "Ca", "Zn", "Ni", "Zn", "Ca", "Ni", "Zn", "Ca"], "fractional_positions": [[0.212, 0.436, 0.954], [0.712, 0.564, 0.546], [0.457, 0.556, 0.289], [0.270, 0.250, 0.809], [0.457, 0.944, 0.289], [0.957, 0.444, 0.211], [0.732, 0.250, 0.896], [0.230, 0.250, 0.309], [0.517, 0.250, 0.570], [0.017, 0.750, 0.930], [0.483, 0.750, 0.430], [0.043, 0.944, 0.789], [0.288, 0.064, 0.454], [0.712, 0.936, 0.546], [0.543, 0.444, 0.711], [0.788, 0.564, 0.046], [0.788, 0.936, 0.046], [0.983, 0.250, 0.070], [0.029, 0.250, 0.636], [0.288, 0.436, 0.454], [0.529, 0.750, 0.864], [0.768, 0.250, 0.396], [0.043, 0.556, 0.789], [0.471, 0.250, 0.136], [0.232, 0.750, 0.604], [0.212, 0.064, 0.954], [0.730, 0.750, 0.191], [0.543, 0.056, 0.711], [0.268, 0.750, 0.104], [0.770, 0.750, 0.691], [0.957, 0.056, 0.211], [0.971, 0.750, 0.364]], "vol_a3_per_atom": 18.13, "n_ef_per_ev_cell": 19.547, "energy_ev_per_atom": -2.87, "magmom_total_mub_per_atom": 0.000, "e_form_ev_per_atom": -0.2849}

Record 6
{"formula": "ReHg2Sb", "functional": "PBE", "state": "optimized geometry", "lattice_angstrom": [[4.913, 0.000, 0.000], [0.000, 4.094, 0.000], [0.000, 0.000, 4.094]], "species": ["Re", "Sb", "Hg", "Hg"], "fractional_positions": [[0.500, 0.500, 0.000], [0.500, 0.000, 0.500], [0.000, 0.000, 0.000], [0.000, 0.500, 0.500]], "vol_a3_per_atom": 20.59, "n_ef_per_ev_cell": 3.881, "energy_ev_per_atom": -3.36, "magmom_total_mub_per_atom": 0.116, "e_form_raw_ev_per_atom": 0.93}

Record 7
{"formula": "Ho5ThZn4", "functional": "PBE", "state": "optimized geometry", "lattice_angstrom": [[3.553, 0.000, 0.000], [0.000, 3.553, 0.000], [0.000, 0.000, 19.176]], "species": ["Zn", "Zn", "Ho", "Th", "Ho", "Ho", "Ho", "Zn", "Ho", "Zn"], "fractional_positions": [[0.000, 0.000, 0.223], [0.000, 0.000, 0.777], [0.500, 0.500, 0.870], [0.000, 0.000, 0.000], [0.500, 0.500, 0.130], [0.500, 0.500, 0.500], [0.500, 0.500, 0.316], [0.000, 0.000, 0.593], [0.500, 0.500, 0.684], [0.000, 0.000, 0.407]], "vol_a3_per_atom": 24.20, "n_ef_per_ev_cell": 10.727, "energy_ev_per_atom": -3.82, "magmom_total_mub_per_atom": 0.000, "e_form_ev_per_atom": -0.2751}

Record 8
{"formula": "RbAgCl6", "functional": "PBE", "state": "optimized geometry", "lattice_angstrom": [[-1.407, 1.798, -5.796], [-2.464, -5.694, 0.555], [-3.478, 3.618, 3.690]], "species": ["Cl", "Rb", "Ag", "Cl", "Cl", "Cl", "Cl", "Cl"], "fractional_positions": [[0.806, 0.806, 0.436], [0.000, 0.000, 0.000], [0.500, 0.500, 0.500], [0.194, 0.564, 0.194], [0.194, 0.194, 0.564], [0.436, 0.806, 0.806], [0.564, 0.194, 0.194], [0.806, 0.436, 0.806]], "vol_a3_per_atom": 26.47, "n_ef_per_ev_cell": 5.914, "energy_ev_per_atom": -2.28, "magmom_total_mub_per_atom": 0.000, "polymorph_energy_mev_per_atom": 166, "e_form_raw_ev_per_atom": -0.42}

Record 9
{"formula": "CsNdCrCl6", "functional": "PBE", "state": "optimized geometry", "lattice_angstrom": [[9.975, 0.000, 0.000], [0.000, 9.396, 0.000], [-4.987, -4.698, 6.785]], "species": ["Cl", "Cr", "Cl", "Cl", "Cr", "Nd", "Cl", "Cl", "Cs", "Cl", "Cl", "Cl", "Nd", "Cl", "Cl", "Cl", "Cs", "Cl"], "fractional_positions": [[0.451, 0.656, 0.262], [0.500, 0.500, 0.000], [0.811, 0.105, 0.262], [0.841, 0.091, 0.683], [0.500, 0.000, 0.000], [0.000, 0.000, 0.500], [0.811, 0.656, 0.262], [0.463, 0.713, 0.927], [0.794, 0.544, 0.587], [0.549, 0.344, 0.738], [0.159, 0.909, 0.317], [0.549, 0.895, 0.738], [0.500, 0.000, 0.500], [0.537, 0.287, 0.073], [0.189, 0.344, 0.738], [0.451, 0.105, 0.262], [0.206, 0.456, 0.413], [0.189, 0.895, 0.738]], "vol_a3_per_atom": 35.33, "n_ef_per_ev_cell": 6.138, "energy_ev_per_atom": -4.67, "magmom_total_mub_per_atom": 0.444, "e_form_raw_ev_per_atom": -1.74}

Record 10
{"formula": "ScUIn2", "functional": "PBE", "state": "optimized geometry", "lattice_angstrom": [[-3.119, 3.200, 0.463], [-1.346, -1.900, 4.066], [3.092, 2.684, 2.278]], "species": ["In", "U", "In", "Sc"], "fractional_positions": [[0.000, 0.500, 0.000], [0.500, 0.000, 0.000], [0.000, 0.000, 0.500], [0.500, 0.500, 0.500]], "vol_a3_per_atom": 24.65, "n_ef_per_ev_cell": 8.555, "energy_ev_per_atom": -5.76, "magmom_total_mub_per_atom": 0.898, "e_form_ev_per_atom": 0.0170, "polymorph_energy_mev_per_atom": 146}

Record 11
{"formula": "Pr3MgIr3", "functional": "PBE", "state": "optimized geometry", "lattice_angstrom": [[-3.893, -0.295, 1.958], [1.542, -4.896, -2.542], [6.319, -4.206, 11.933]], "species": ["Ir", "Pr", "Pr", "Ir", "Ir", "Pr", "Pr", "Pr", "Pr", "Ir", "Mg", "Mg", "Ir", "Ir"], "fractional_positions": [[0.910, 0.821, 0.908], [0.201, 0.402, 0.894], [0.799, 0.598, 0.394], [0.231, 0.462, 0.250], [0.090, 0.179, 0.408], [0.201, 0.402, 0.606], [0.799, 0.598, 0.106], [0.484, 0.969, 0.750], [0.516, 0.031, 0.250], [0.910, 0.821, 0.592], [0.500, 0.000, 0.500], [0.500, 0.000, 0.000], [0.090, 0.179, 0.092], [0.769, 0.538, 0.750]], "vol_a3_per_atom": 23.36, "n_ef_per_ev_cell": 10.320, "energy_ev_per_atom": -6.67, "magmom_total_mub_per_atom": 0.000, "e_form_ev_per_atom": -0.6008}

Record 12
{"formula": "Ag2AuCl4", "functional": "PBE", "state": "optimized geometry", "lattice_angstrom": [[6.450, 0.000, -2.791], [-1.207, 6.336, -2.791], [0.060, 0.072, 8.987]], "species": ["Cl", "Cl", "Cl", "Cl", "Ag", "Ag", "Cl", "Ag", "Au", "Cl", "Cl", "Cl", "Ag", "Au"], "fractional_positions": [[0.028, 0.440, 0.480], [0.790, 0.278, 0.980], [0.960, 0.972, 0.520], [0.722, 0.810, 0.020], [0.375, 0.625, 0.250], [0.375, 0.625, 0.750], [0.560, 0.548, 0.520], [0.375, 0.125, 0.750], [0.750, 0.250, 0.500], [0.190, 0.702, 0.980], [0.298, 0.210, 0.020], [0.452, 0.040, 0.480], [0.875, 0.625, 0.250], [0.000, 0.000, 0.000]], "vol_a3_per_atom": 26.42, "n_ef_per_ev_cell": 7.259, "energy_ev_per_atom": -2.63, "magmom_total_mub_per_atom": 0.000, "polymorph_energy_mev_per_atom": 0, "e_form_raw_ev_per_atom": -0.29}

Record 13
{"formula": "LiAsSeBr2", "functional": "PBE", "state": "optimized geometry", "lattice_angstrom": [[4.761, 0.000, 0.000], [0.000, 4.761, 0.000], [0.000, 0.000, 5.074]], "species": ["Li", "Br", "Br", "As", "Se"], "fractional_positions": [[0.000, 0.000, 0.000], [0.000, 0.500, 0.000], [0.500, 0.000, 0.000], [0.500, 0.500, 0.500], [0.000, 0.000, 0.500]], "vol_a3_per_atom": 23.00, "n_ef_per_ev_cell": 5.660, "energy_ev_per_atom": -2.54, "magmom_total_mub_per_atom": 0.002, "polymorph_energy_mev_per_atom": 456, "e_form_raw_ev_per_atom": 0.14}

Record 14
{"formula": "CaPr3C2N6", "functional": "PBE", "state": "optimized geometry", "lattice_angstrom": [[5.503, 0.000, 0.000], [-2.751, 4.766, 0.000], [0.000, 0.000, 6.613]], "species": ["C", "Pr", "N", "N", "N", "N", "Ca", "Pr", "C", "Pr", "N", "N"], "fractional_positions": [[0.667, 0.333, 0.734], [0.000, 0.000, 0.000], [0.190, 0.381, 0.276], [0.619, 0.810, 0.276], [0.810, 0.190, 0.724], [0.381, 0.190, 0.724], [0.000, 0.000, 0.500], [0.667, 0.333, 0.328], [0.333, 0.667, 0.266], [0.333, 0.667, 0.672], [0.810, 0.619, 0.724], [0.190, 0.810, 0.276]], "vol_a3_per_atom": 14.45, "n_ef_per_ev_cell": 2.516, "energy_ev_per_atom": -7.81, "magmom_total_mub_per_atom": 0.000, "e_form_raw_ev_per_atom": -0.75}

Record 15
{"formula": "ZrTcHg", "functional": "PBE", "state": "optimized geometry", "lattice_angstrom": [[-0.258, 4.108, 3.476], [-4.422, 2.808, 1.258], [1.861, -5.025, -0.550]], "species": ["Tc", "Hg", "Zr"], "fractional_positions": [[0.322, 0.322, 0.000], [0.995, 0.995, 0.000], [0.683, 0.683, 0.000]], "vol_a3_per_atom": 19.15, "n_ef_per_ev_cell": 3.170, "energy_ev_per_atom": -6.40, "magmom_total_mub_per_atom": 0.000, "e_form_ev_per_atom": 0.0032, "polymorph_energy_mev_per_atom": 0}

Record 16
{"formula": "PrNdThCd", "functional": "PBE", "state": "optimized geometry", "lattice_angstrom": [[5.602, 0.000, 0.000], [2.801, 4.852, 0.000], [2.801, 1.617, 4.574]], "species": ["Pr", "Nd", "Th", "Cd"], "fractional_positions": [[0.750, 0.750, 0.750], [0.250, 0.250, 0.250], [0.500, 0.500, 0.500], [0.000, 0.000, 0.000]], "vol_a3_per_atom": 31.08, "n_ef_per_ev_cell": 6.039, "energy_ev_per_atom": -4.40, "magmom_total_mub_per_atom": 0.081, "e_form_ev_per_atom": 0.0724}

Record 17
{"formula": "AlAsP2", "functional": "PBE", "state": "optimized geometry", "lattice_angstrom": [[-7.609, -3.380, -0.123], [-6.318, -4.520, -2.998], [-5.660, -6.106, -0.120]], "species": ["P", "As", "P", "Al"], "fractional_positions": [[0.252, 0.252, 0.252], [0.772, 0.772, 0.772], [0.970, 0.970, 0.970], [0.506, 0.506, 0.506]], "vol_a3_per_atom": 19.69, "n_ef_per_ev_cell": 2.769, "energy_ev_per_atom": -4.68, "magmom_total_mub_per_atom": 0.000, "e_form_ev_per_atom": 0.1275, "polymorph_energy_mev_per_atom": 209}

Record 18
{"formula": "PaBeP2", "functional": "PBE", "state": "optimized geometry", "lattice_angstrom": [[-2.156, -0.866, -3.514], [-0.196, -3.958, -1.429], [-6.378, -2.665, 2.046]], "species": ["Be", "Pa", "P", "P"], "fractional_positions": [[0.000, 0.000, 0.000], [0.500, 0.500, 0.500], [0.902, 0.902, 0.294], [0.098, 0.098, 0.706]], "vol_a3_per_atom": 26.07, "n_ef_per_ev_cell": 5.060, "energy_ev_per_atom": -6.29, "magmom_total_mub_per_atom": 0.256, "e_form_ev_per_atom": -0.2818}

Record 19
{"formula": "KSe", "functional": "PBE", "state": "optimized geometry", "lattice_angstrom": [[19.849, 0.000, 0.000], [0.000, 4.688, 0.000], [0.000, 0.000, 4.835]], "species": ["K", "Se", "K", "Se", "K", "K", "Se", "Se", "K", "K", "Se", "Se"], "fractional_positions": [[0.160, 0.500, 0.500], [0.000, 0.500, 0.500], [0.000, 0.000, 0.000], [0.776, 0.000, 0.000], [0.500, 0.500, 0.000], [0.840, 0.500, 0.500], [0.224, 0.000, 0.000], [0.724, 0.500, 0.000], [0.660, 0.000, 0.500], [0.340, 0.000, 0.500], [0.276, 0.500, 0.000], [0.500, 0.000, 0.500]], "vol_a3_per_atom": 37.49, "n_ef_per_ev_cell": 6.403, "energy_ev_per_atom": -3.15, "magmom_total_mub_per_atom": 0.062, "e_form_raw_ev_per_atom": -0.86}

Record 20
{"formula": "Pr2GaNi3", "functional": "PBE", "state": "optimized geometry", "lattice_angstrom": [[3.849, 0.000, -1.025], [-0.294, 3.891, -1.106], [0.046, 0.139, 7.914]], "species": ["Pr", "Ni", "Ni", "Ga", "Pr", "Ni"], "fractional_positions": [[0.865, 0.365, 0.730], [0.546, 0.546, 0.091], [0.294, 0.794, 0.587], [0.459, 0.959, 0.918], [0.129, 0.129, 0.259], [0.707, 0.707, 0.414]], "vol_a3_per_atom": 19.89, "n_ef_per_ev_cell": 5.118, "energy_ev_per_atom": -5.40, "magmom_total_mub_per_atom": 0.000, "e_form_ev_per_atom": -0.4099, "polymorph_energy_mev_per_atom": 0}

Record 21
{"formula": "ZrTeAu", "functional": "PBE", "state": "optimized geometry", "lattice_angstrom": [[3.954, 0.000, 0.000], [1.977, 3.424, 0.000], [1.977, 1.141, 12.206]], "species": ["Zr", "Au", "Te", "Au", "Te", "Zr"], "fractional_positions": [[0.431, 0.431, 0.707], [0.857, 0.857, 0.429], [0.284, 0.284, 0.148], [0.143, 0.143, 0.571], [0.716, 0.716, 0.852], [0.569, 0.569, 0.293]], "vol_a3_per_atom": 27.55, "n_ef_per_ev_cell": 2.925, "energy_ev_per_atom": -5.54, "magmom_total_mub_per_atom": 0.000, "polymorph_energy_mev_per_atom": 0, "e_form_raw_ev_per_atom": -0.55}

Record 22
{"formula": "LaTcO5", "functional": "PBE", "state": "optimized geometry", "lattice_angstrom": [[-0.804, -4.095, 3.882], [3.104, -4.566, -1.416], [6.172, -0.484, 4.596]], "species": ["O", "O", "O", "O", "Tc", "Tc", "O", "O", "O", "O", "O", "La", "La", "O"], "fractional_positions": [[0.229, 0.202, 0.390], [0.707, 0.274, 0.965], [0.798, 0.771, 0.110], [0.293, 0.726, 0.035], [0.000, 0.000, 0.000], [0.000, 0.000, 0.500], [0.726, 0.293, 0.535], [0.274, 0.707, 0.465], [0.937, 0.063, 0.250], [0.771, 0.798, 0.610], [0.063, 0.937, 0.750], [0.557, 0.443, 0.250], [0.443, 0.557, 0.750], [0.202, 0.229, 0.890]], "vol_a3_per_atom": 15.37, "energy_ev_per_atom": -7.74, "magmom_total_mub_per_atom": 0.000, "polymorph_energy_mev_per_atom": 50, "e_form_raw_ev_per_atom": -2.01}

Record 23
{"formula": "HoBe2Rh2", "functional": "PBE", "state": "optimized geometry", "lattice_angstrom": [[4.050, 0.000, 0.000], [0.000, 4.050, 0.000], [0.000, 0.000, 8.890]], "species": ["Be", "Ho", "Rh", "Rh", "Be", "Rh", "Be", "Ho", "Be", "Rh"], "fractional_positions": [[0.500, 0.500, 0.500], [0.500, 0.000, 0.245], [0.000, 0.000, 0.000], [0.000, 0.500, 0.382], [0.500, 0.000, 0.880], [0.500, 0.000, 0.618], [0.000, 0.500, 0.120], [0.000, 0.500, 0.755], [0.000, 0.000, 0.500], [0.500, 0.500, 0.000]], "vol_a3_per_atom": 14.58, "n_ef_per_ev_cell": 1.618, "energy_ev_per_atom": -6.02, "magmom_total_mub_per_atom": 0.000, "e_form_ev_per_atom": -0.6773}